## w
Here is a relaxed structure of ErSc2Zn2 from Alexandria via LeMat-Bulk. Energies are from PBE.

abc: 3.4320 4.9123 12.7059
angles: 90.00 97.77 90.00
Last column: nearest neighbours and their distance in Å.
Space group P2_1/m (No. 11)
One atom of each set of equivalent atoms:
Er 0.1457 0.2500 0.2903  6 Zn 3.00-3.04, 2 Sc 3.32
Sc 0.0467 0.7500 0.0932  8 Zn 2.89-3.00
Sc 0.2339 0.7500 0.4682  2 Zn 2.91, 4 Sc 3.10
Zn 0.3592 0.2500 0.7186  4 Sc 2.91-2.93, 4 Er 3.00
Zn 0.4544 0.7500 0.9086  6 Sc 2.89-3.00, 2 Er 3.03-3.04

Summary:
- V (Å³/atom) = 21.2
- DOS at the Fermi energy (states/eV per cell) = 10.04

***

## x
Here is a relaxed structure of ErSc2Zn2 from Alexandria via LeMat-Bulk. Energies are from PBE.

abc: 4.7901 4.7901 5.7420
angles: 90.00 90.00 120.00
Last column: nearest neighbours and their distance in Å.
Space group P-3m1 (No. 164)
One atom of each set of equivalent atoms:
Er 0.0000 0.0000 0.0000  6 Zn 2.91
Sc 0.3333 0.6667 0.6472  5 Zn 2.82-2.99
Zn 0.3333 0.6667 0.1556  5 Sc 2.82-2.99, 3 Er 2.91

Summary:
- V (Å³/atom) = 22.8
- DOS at the Fermi energy (states/eV per cell) = 5.93

***

Result of the stability comparison: w is the most stable of them.